! GGA-PBE AlCrAs2, optimized geometry; values from VASP
&SYSTEM
  ibrav = 0, nat = 4, ntyp = 3
/
ATOMIC_SPECIES
Cr 52.00 Cr.upf
As 74.92 As.upf
Al 26.98 Al.upf
CELL_PARAMETERS angstrom
4.7927 -0.1054 -0.0434
0.9888 4.6907 0.0434
-2.3642 -2.9565 2.9415
ATOMIC_POSITIONS angstrom
Cr 2.6596 -0.3846 1.4490
As 0.0201 0.0160 0.0000
As 2.8706 2.2767 0.0000
Al 0.7576 2.0135 1.4924
! Energy relative to the elements (meV/atom): 159.2
! Spin magnetization (μB per formula unit): 2.6
! DOS(E_F) (states/eV/f.u.): 1.6
! E (eV/atom): -5.507